(1)
Compound: PmMgPO
Source: the Open Quantum Materials Database
Functional: PBE-GGA
Structure: optimized geometry

Lattice parameters (Å, degrees): 4.073 4.073 8.894 90.00 90.00 90.00
Space group P4/nmm (No. 129, origin choice 2)
One atom of each set of equivalent atoms:
Pm 0.250 0.250 0.127
Mg 0.250 0.750 0.500
P 0.250 0.250 0.674
O 0.250 0.750 0.000

The uncorrected energy comes out at -6.122 eV/atom. As for the calculated density: 4867 kg/m³.


(2)
Compound: MgCdSeO
Source: the Open Quantum Materials Database
Functional: PBE-GGA
Structure: optimized geometry

Lattice parameters (Å, degrees): 6.069 8.552 5.659 90.00 90.00 90.00
Space group Pca2_1 (No. 29)
One atom of each set of equivalent atoms:
Mg 0.120 0.064 0.000
Cd 0.018 0.666 0.119
Se 0.025 0.657 0.629
O 0.092 0.074 0.654

The uncorrected energy comes out at -4.188 eV/atom. As for the calculated density: 5239 kg/m³.


(3)
Compound: DyZnNO
Source: the Open Quantum Materials Database
Functional: PBE-GGA
Structure: optimized geometry

Lattice parameters (Å, degrees): 5.680 7.807 4.976 90.00 90.00 90.00
Space group Pca2_1 (No. 29)
One atom of each set of equivalent atoms:
Dy 0.043 0.148 0.000
Zn 0.059 0.620 0.980
N 0.057 0.138 0.518
O 0.100 0.594 0.573

The uncorrected energy comes out at -6.356 eV/atom. As for the calculated density: 7764 kg/m³.


(4)
Compound: TmZn2
Source: the Open Quantum Materials Database
Functional: PBE-GGA
Structure: optimized geometry

Lattice parameters (Å, degrees): 5.3922 5.3922 13.2260 90.00 90.00 120.00
Space group R32 (No. 155, hexagonal axes)
One atom of each set of equivalent atoms:
Tm 0.0000 0.0000 0.1252
Zn 0.0000 0.0000 0.5000
Zn 0.0000 0.5022 0.0000

For the formation energy, the calculation gives -1.01 eV/f.u. As for the calculated density: 8967 kg/m³.